No. 1
CrPt2Br PBE relaxed; symmetry = Cmmm, No. 65; E = -0.1942 hartree per atom; crystal system = orthorhombic; volume = 17.13 Å³/atom; raw formation energy = 0.560 eV per atom; total magnetization = 1.05 μB per atom
1.0
2.8002 -4.0546 0.0000
2.8002 4.0546 0.0000
0.0000 0.0000 3.0174
Cr Pt Br
1 2 1
Cartesian
0.0000 0.0000 0.0000
1.4001 2.0273 1.5087
1.4001 -2.0273 1.5087
2.8002 0.0000 0.0000

No. 2
CrPtBr2 PBE relaxed; symmetry = P4mm, No. 99; E = -0.1697 hartree per atom; crystal system = tetragonal; volume = 22.07 Å³/atom; raw formation energy = 0.135 eV per atom; total magnetization = 0.62 μB per atom
1.0
3.1852 0.0000 0.0000
0.0000 3.1852 0.0000
0.0000 0.0000 8.7004
Cr Pt Br
1 1 2
Cartesian
0.0000 0.0000 0.0000
1.5926 1.5926 1.4759
0.0000 0.0000 3.3414
1.5926 1.5926 7.0255

No. 3
CrPtBr2 PBE relaxed; symmetry = R-3m, No. 166; E = -0.1618 hartree per atom; crystal system = trigonal; volume = 20.35 Å³/atom; raw formation energy = 0.351 eV per atom; total magnetization = 0.73 μB per atom
1.0
1.6676 0.9628 8.4486
-1.6676 0.9628 8.4486
0.0000 -1.9255 8.4486
Cr Pt Br
1 1 2
Cartesian
0.0000 0.0000 0.0000
0.0000 0.0000 12.6728
0.0000 0.0000 6.7798
0.0000 0.0000 18.5659

No. 4
CrPtBr2 PBE relaxed; symmetry = R-3m, No. 166; E = -0.1664 hartree per atom; crystal system = trigonal; volume = 24.40 Å³/atom; raw formation energy = 0.224 eV per atom; total magnetization = 1.00 μB per atom
1.0
1.8887 1.0904 7.8999
-1.8887 1.0904 7.8999
0.0000 -2.1808 7.8999
Cr Pt Br
1 1 2
Cartesian
0.0000 0.0000 0.0000
0.0000 0.0000 11.8498
0.0000 0.0000 9.4383
0.0000 0.0000 14.2613